a.
# Sb3IF

A relaxed structure of Sb3IF (PBE, Alexandria).

For the magnetization, the calculation gives 0.0 μB/f.u. The calculation puts the calculated density at 6421 kg/m3.

The structure belongs to space group Pm-3m (No. 221); the cell edges are 5.094, 5.094 and 5.094 Å and the angles 90.00°, 90.00° and 90.00°. The asymmetric unit holds Sb at (0.000, 0.000, 0.500), I at (0.500, 0.500, 0.500) and F at (0.000, 0.000, 0.000).

=====

b.
# Sb3IF

A relaxed structure of Sb3IF (PBE, Alexandria).

For the magnetization, the calculation gives 0.0 μB/f.u. The calculation puts the calculated density at 4365 kg/m3.

The structure belongs to space group Pm-3m (No. 221); the cell edges are 5.793, 5.793 and 5.793 Å and the angles 90.00°, 90.00° and 90.00°. The asymmetric unit holds Sb at (0.000, 0.000, 0.500), I at (0.000, 0.000, 0.000) and F at (0.500, 0.500, 0.500).

=====

a (789 meV per atom below the next structure)

=====

a.
# SbI2F

A relaxed structure of SbI2F (PBE, Alexandria).

For the magnetization, the calculation gives 0.0 μB/f.u. The calculation puts the calculated density at 3648 kg/m3.

The structure belongs to space group Cm (No. 8); the cell edges are 9.906, 8.588 and 4.682 Å and the angles 90.00°, 115.63° and 90.00°. The asymmetric unit holds Sb at (0.000, 0.000, 0.000), I at (0.198, 0.246, 0.208) and F at (0.498, 0.500, 0.566).

=====

b.
# SbI2F

A relaxed structure of SbI2F (PBE, Alexandria).

For the magnetization, the calculation gives 0.0 μB/f.u. The calculation puts the calculated density at 3967 kg/m3.

The structure belongs to space group Pnma (No. 62); the cell edges are 9.408, 6.062 and 11.583 Å and the angles 90.00°, 90.00° and 90.00°. The asymmetric unit holds Sb at (0.192, 0.250, 0.069), I at (0.034, 0.750, 0.655), I at (0.134, 0.750, 0.074) and F at (0.243, 0.750, 0.409).

=====

c.
# SbI2F

A relaxed structure of SbI2F (PBE, Alexandria).

For the magnetization, the calculation gives 0.0 μB/f.u. The calculation puts the calculated density at 5254 kg/m3.

The structure belongs to space group I-42d (No. 122); the cell edges are 7.802, 7.802 and 8.194 Å and the angles 90.00°, 90.00° and 90.00°. The asymmetric unit holds Sb at (0.000, 0.000, 0.000), I at (0.242, 0.750, 0.625) and F at (0.000, 0.000, 0.500).

=====

d.
# SbI2F

A relaxed structure of SbI2F (PBE, Alexandria).

For the magnetization, the calculation gives 0.0 μB/f.u. The calculation puts the calculated density at 6437 kg/m3.

The structure belongs to space group Fm-3m (No. 225); the cell edges are 7.412, 7.412 and 7.412 Å and the angles 90.00°, 90.00° and 90.00°. The asymmetric unit holds Sb at (0.000, 0.000, 0.000), I at (0.250, 0.250, 0.250) and F at (0.000, 0.000, 0.500).

=====

a (29 meV per atom below the next structure)

=====

a.
# SnSbI2F

A relaxed structure of SnSbI2F (PBE, Alexandria).

For the magnetization, the calculation gives 0.0 μB/f.u. The calculation puts the calculated density at 5609 kg/m3.

The structure belongs to space group P4/mmm (No. 123); the cell edges are 5.966, 5.966 and 4.270 Å and the angles 90.00°, 90.00° and 90.00°. The asymmetric unit holds Sn at (0.000, 0.000, 0.000), Sb at (0.500, 0.500, 0.000), I at (0.000, 0.500, 0.500) and F at (0.500, 0.500, 0.500).

=====

b.
# SnSbI2F

A relaxed structure of SnSbI2F (PBE, Alexandria).

For the magnetization, the calculation gives 1.2 μB/f.u. The calculation puts the calculated density at 4132 kg/m3.

The structure belongs to space group P4/mmm (No. 123); the cell edges are 5.891, 5.891 and 5.944 Å and the angles 90.00°, 90.00° and 90.00°. The asymmetric unit holds Sn at (0.000, 0.000, 0.000), Sb at (0.000, 0.000, 0.500), I at (0.000, 0.500, 0.000) and F at (0.500, 0.500, 0.500).

=====

a (431 meV per atom below the next structure)